Record 1
The following is a DFT calculation (PBE) of crystalline DyEr2Ni9 at its relaxed geometry.

```
data_DyEr2Ni9
_cell_length_a 4.9080
_cell_length_b 4.9080
_cell_length_c 24.0700
_cell_angle_alpha 90.00
_cell_angle_beta 90.00
_cell_angle_gamma 120.00
_symmetry_space_group_name_H-M 'R -3 m'
_symmetry_Int_Tables_number 166
_symmetry_space_group_name_Hall '-R 3 2"'
loop_
_atom_site_label
_atom_site_type_symbol
_atom_site_fract_x
_atom_site_fract_y
_atom_site_fract_z
Dy1 Dy 0.0000 0.0000 0.0000
Er1 Er 0.0000 0.0000 0.1393
Ni1 Ni 0.0000 0.0000 0.3331
Ni2 Ni 0.0000 0.0000 0.5000
Ni3 Ni 0.0014 0.5007 0.9173
```

Calculated values
* VASP energy: -207.02 eV per cell
* calculated density: 10.2 g/cm³
* energy of formation: -431 meV per atom
* volume: 13.95 A^3/atom
* total magnetization: 0.9 μB per formula unit


Record 2
The following is a DFT calculation (PBE) of crystalline NaTlTeOs at its relaxed geometry.

```
data_NaTlTeOs
_cell_length_a 6.8691
_cell_length_b 6.8691
_cell_length_c 6.8691
_cell_angle_alpha 90.00
_cell_angle_beta 90.00
_cell_angle_gamma 90.00
_symmetry_space_group_name_H-M 'F -4 3 m'
_symmetry_Int_Tables_number 216
_symmetry_space_group_name_Hall 'F -4 2 3'
loop_
_atom_site_label
_atom_site_type_symbol
_atom_site_fract_x
_atom_site_fract_y
_atom_site_fract_z
Na1 Na 0.0000 0.0000 0.0000
Tl1 Tl 0.2500 0.2500 0.2500
Te1 Te 0.2500 0.2500 0.7500
Os1 Os 0.0000 0.0000 0.5000
```

Calculated values
* E above lowest polymorph: 0.000 eV per atom
* VASP energy: -64.62 eV per cell
* calculated density: 11.2 g/cm³
* volume: 20.26 A^3/atom
* total magnetization: 0.0 μB per formula unit